Entry 1:
An optimized crystal structure of YPCO2. Source: the Alexandria database, functional PBE-GGA.

Energy ... -5.526 eV/atom
Offset from the most stable computed form ... 859 meV/atom
Symmetry ... No. 123
Crystal system ... tetragonal
Magnetization ... 1.64 μB/f.u.
ΔE_f (raw) ... 677 meV/atom

Cell lengths 4.1477, 4.1477, 6.2166 Å; angles 90.00, 90.00, 90.00 degrees
With the nearest neighbours (Å) after each atom.
Sites, in units of the cell vectors:
Y1 0.0000 0.0000 0.0000  4 O 2.07
P1 0.0000 0.0000 0.5000  4 C 2.93, 2 Y 3.11
C1 0.5000 0.5000 0.5000  4 P 2.93
O1 0.0000 0.5000 0.0000  2 Y 2.07
O2 0.5000 0.0000 0.0000  2 Y 2.07


Entry 2:
An optimized crystal structure of ZrPCO2. Source: the Alexandria database, functional PBE-GGA.

Energy ... -6.616 eV/atom
Offset from the most stable computed form ... 0 meV/atom
Symmetry ... No. 123
Crystal system ... tetragonal
Magnetization ... 0.00 μB/f.u.
ΔE_f (raw) ... 3 meV/atom

Cell lengths 3.7787, 3.7787, 3.8138 Å; angles 90.00, 90.00, 90.00 degrees
With the nearest neighbours (Å) after each atom.
Sites, in units of the cell vectors:
P1 0.0000 0.0000 0.5000  2 C 1.91
C1 0.0000 0.0000 0.0000  4 O 1.89, 2 P 1.91
O1 0.0000 0.5000 0.0000  2 C 1.89
O2 0.5000 0.0000 0.0000  2 C 1.89
Zr1 0.5000 0.5000 0.5000  4 P 2.67, 8 O 2.68